(1)
Compound: CdInAg2
Source: Alexandria via LeMat-Bulk
Functional: PBE-GGA
Structure: optimized geometry

* Fermi-level density of states: 0.263 states/eV/atom
* size of the total moment: 0.0000 μB per atom
* space group: No. 63
* DFT total energy: -2.32 eV/atom
* ΔE_f: 0.016 eV/atom

The structure in POSCAR format:
```
CdInAg2
1.0
-1.9681 -0.6096 2.1967
0.8489 -5.3172 -2.7796
6.9489 -1.8734 5.7059
In Ag Cd
2 4 2
Direct
0.7605 0.5210 0.7500
0.2395 0.4790 0.2500
0.6233 0.2466 0.0135
0.3767 0.7534 0.9865
0.6233 0.2466 0.4865
0.3767 0.7534 0.5135
0.0215 0.0429 0.7500
0.9785 0.9571 0.2500
```

---

(2)
Compound: Ta4AsC
Source: Alexandria via LeMat-Bulk
Functional: PBE-GGA
Structure: optimized geometry

* Fermi-level density of states: 0.505 states/eV/atom
* size of the total moment: 0.0000 μB per atom
* space group: No. 15
* DFT total energy: -10.46 eV/atom
* ΔE_f: -0.242 eV/atom

The structure in POSCAR format:
```
Ta4AsC
1.0
-2.1142 4.3029 2.4425
-5.3961 -2.0010 -1.1458
2.8302 -4.4929 4.4382
Ta As C
8 2 2
Direct
0.2918 0.1339 0.3899
0.6915 0.9625 0.1886
0.9019 0.3661 0.6101
0.5028 0.5375 0.8114
0.7082 0.8661 0.6101
0.4972 0.4625 0.1886
0.0981 0.6339 0.3899
0.3085 0.0375 0.8114
0.1407 0.7500 0.0000
0.8593 0.2500 0.0000
0.5000 0.5000 0.5000
0.0000 0.0000 0.5000
```

---

(3)
Compound: In2Pb2F
Source: Alexandria via LeMat-Bulk
Functional: PBE-GGA
Structure: optimized geometry

* Fermi-level density of states: 0.404 states/eV/atom
* size of the total moment: 0.0000 μB per atom
* space group: No. 127
* raw formation energy: -0.539 eV/atom
* DFT total energy: -3.49 eV/atom

The structure in POSCAR format:
```
In2Pb2F
1.0
6.7512 0.0000 0.0000
0.0000 6.7512 0.0000
0.0000 0.0000 5.8068
F In Pb
2 4 4
Direct
0.5000 0.5000 0.0000
0.0000 0.0000 0.0000
0.3329 0.8329 0.0000
0.8329 0.6671 0.0000
0.6671 0.1671 0.0000
0.1671 0.3329 0.0000
0.1874 0.6874 0.5000
0.3126 0.1874 0.5000
0.8126 0.3126 0.5000
0.6874 0.8126 0.5000
```

---

(4)
Compound: ZnSnPd
Source: Alexandria via LeMat-Bulk
Functional: PBE-GGA
Structure: optimized geometry

* Fermi-level density of states: 0.383 states/eV/atom
* size of the total moment: 0.0000 μB per atom
* space group: No. 156
* DFT total energy: -3.70 eV/atom
* ΔE_f: -0.207 eV/atom

The structure in POSCAR format:
```
ZnSnPd
1.0
-2.0752 -2.0078 -1.5354
3.4353 -2.3634 -1.5526
-1.8531 -1.0682 3.9016
Sn Zn Pd
1 1 1
Direct
0.6668 0.6667 0.3333
0.1678 0.3333 0.6667
0.1653 0.0000 0.0000
```

---

(5)
Compound: TaSi2Mo
Source: Alexandria via LeMat-Bulk
Functional: PBE-GGA
Structure: optimized geometry

* Fermi-level density of states: 0.853 states/eV/atom
* size of the total moment: 0.0002 μB per atom
* space group: No. 160
* raw formation energy: 0.085 eV/atom
* DFT total energy: -8.30 eV/atom

The structure in POSCAR format:
```
TaSi2Mo
1.0
8.6640 -0.0046 -0.0027
8.1746 2.8709 -0.0027
8.1746 1.3915 2.5111
Si Mo Ta
2 1 1
Direct
0.2531 0.2531 0.2531
0.9992 0.9992 0.9992
0.7432 0.7432 0.7432
0.5045 0.5045 0.5045
```

---

(6)
Compound: SmErGePd
Source: Alexandria via LeMat-Bulk
Functional: PBE-GGA
Structure: optimized geometry

* Fermi-level density of states: 0.447 states/eV/atom
* size of the total moment: 0.0000 μB per atom
* space group: No. 216
* DFT total energy: -5.55 eV/atom
* ΔE_f: -0.782 eV/atom

The structure in POSCAR format:
```
SmErGePd
1.0
5.0460 0.0000 0.0000
2.5230 4.3700 0.0000
2.5230 1.4567 4.1201
Sm Ge Er Pd
1 1 1 1
Direct
0.5000 0.5000 0.5000
0.2500 0.2500 0.2500
0.0000 0.0000 0.0000
0.7500 0.7500 0.7500
```

---

(7)
Compound: V2CuRe
Source: Alexandria via LeMat-Bulk
Functional: PBE-GGA
Structure: optimized geometry

* Fermi-level density of states: 1.170 states/eV/atom
* size of the total moment: 0.0001 μB per atom
* space group: No. 122
* DFT total energy: -8.12 eV/atom
* ΔE_f: 0.576 eV/atom

The structure in POSCAR format:
```
V2CuRe
1.0
-6.2907 2.3812 -0.5114
-0.9449 -3.6918 -5.5662
-4.4728 -2.6050 -1.6005
Cu V Re
2 4 2
Direct
0.5000 0.5000 0.0000
0.2500 0.7500 0.5000
0.8750 0.8786 0.7500
0.6286 0.1250 0.2500
0.3750 0.3714 0.7500
0.1214 0.6250 0.2500
0.0000 0.0000 0.0000
0.7500 0.2500 0.5000
```

---

(8)
Compound: Ac3Au2O3
Source: Alexandria via LeMat-Bulk
Functional: PBE-GGA
Structure: optimized geometry

* Fermi-level density of states: 0.193 states/eV/atom
* size of the total moment: 0.0000 μB per atom
* space group: No. 189
* raw formation energy: -1.867 eV/atom
* DFT total energy: -6.09 eV/atom

The structure in POSCAR format:
```
Ac3Au2O3
1.0
-2.0538 -0.9081 2.5629
6.1554 -3.0942 3.8364
-1.9476 7.5591 1.1175
Ac O Au
3 3 2
Direct
0.5000 0.7342 0.7342
0.5000 0.0000 0.2658
0.5000 0.2658 0.0000
0.0000 0.2060 0.2060
0.0000 0.7940 0.0000
0.0000 0.0000 0.7940
0.0000 0.3333 0.6667
0.0000 0.6667 0.3333
```

---

What is the size of the total moment in the second record?
0.0000 μB per atom